Entry from Alexandria via LeMat-Bulk: crystalline Pr4Ho3Ga4 at its relaxed geometry (PBE).

a b c (Å): 3.551 9.129 10.491
angles (deg): 115.79 99.74 90.00
Atoms (fractional coordinates):
Ho 0.092 0.092 0.184
Ho 0.908 0.908 0.816
Pr 0.666 0.841 0.332
Ga 0.500 0.777 0.000
Ho 0.000 0.500 0.000
Ga 0.500 0.223 0.000
Pr 0.334 0.159 0.668
Pr 0.334 0.509 0.668
Pr 0.666 0.491 0.332
Ga 0.720 0.220 0.440
Ga 0.280 0.780 0.560

Computed properties:
ΔE_f (eV/atom): -0.404
N(E_F) (states/eV per atom): 0.79

---

Entry from Alexandria via LeMat-Bulk: crystalline Pr3HoGa2 at its relaxed geometry (PBE).

a b c (Å): 5.174 6.692 9.758
angles (deg): 90.00 90.00 90.00
Atoms (fractional coordinates):
Ho 0.500 0.514 0.556
Pr 0.000 0.815 0.663
Ho 0.500 0.014 0.444
Pr 0.000 0.315 0.337
Ga 0.000 0.298 0.649
Ga 0.500 0.708 0.849
Pr 0.500 0.684 0.176
Pr 0.000 0.982 0.049
Ga 0.500 0.208 0.151
Pr 0.000 0.482 0.951
Pr 0.500 0.184 0.824
Ga 0.000 0.798 0.351

Computed properties:
Energy above the lowest structure with this stoichiometry (meV per atom): 0.0
ΔE_f (eV/atom): -0.388
N(E_F) (states/eV per atom): 1.06

---

Entry from Alexandria via LeMat-Bulk: crystalline Pr2HoGa4 at its relaxed geometry (PBE).

a b c (Å): 4.202 4.328 9.908
angles (deg): 102.62 102.24 90.00
Each line ends with the local moment (μB).
Atoms (fractional coordinates):
Pr 0.184 0.184 0.368  0.09
Ga 0.639 0.639 0.277  0.00
Ga 0.361 0.361 0.723  0.00
Ga 0.064 0.564 0.128  0.00
Ga 0.936 0.436 0.872  0.00
Pr 0.816 0.816 0.632  0.09
Ho 0.500 0.000 0.000  0.01

Computed properties:
ΔE_f (eV/atom): -0.593
N(E_F) (states/eV per atom): 0.86

---

Entry from Alexandria via LeMat-Bulk: crystalline Pr5HoGa4 at its relaxed geometry (PBE).

a b c (Å): 8.405 8.002 8.822
angles (deg): 90.00 90.00 90.00
Atoms (fractional coordinates):
Pr 0.267 0.747 0.195
Pr 0.733 0.247 0.695
Pr 0.733 0.247 0.305
Pr 0.267 0.253 0.195
Ho 0.918 0.000 0.000
Ga 0.565 0.848 0.000
Pr 0.267 0.747 0.805
Ga 0.985 0.500 0.846
Ga 0.435 0.348 0.500
Ga 0.985 0.500 0.154
Ga 0.435 0.652 0.500
Pr 0.648 0.500 0.000
Pr 0.733 0.753 0.695
Ga 0.015 0.000 0.654
Ga 0.015 0.000 0.346
Pr 0.267 0.253 0.805
Pr 0.733 0.753 0.305
Ga 0.565 0.152 0.000
Pr 0.352 0.000 0.500
Ho 0.082 0.500 0.500

Computed properties:
ΔE_f (eV/atom): -0.247
N(E_F) (states/eV per atom): 0.96

---

Entry from Alexandria via LeMat-Bulk: crystalline PrHoGa4 at its relaxed geometry (PBE).

a b c (Å): 5.586 5.586 5.586
angles (deg): 60.00 60.00 60.00
Atoms (fractional coordinates):
Pr 0.000 0.000 0.000
Ga 0.625 0.125 0.625
Ga 0.625 0.625 0.125
Ho 0.250 0.250 0.250
Ga 0.125 0.625 0.625
Ga 0.625 0.625 0.625

Computed properties:
Energy above the lowest structure with this stoichiometry (meV per atom): 120.7
ΔE_f (eV/atom): -0.540
N(E_F) (states/eV per atom): 0.75

---

Entry from Alexandria via LeMat-Bulk: crystalline Pr2Ho3Ga4 at its relaxed geometry (PBE).

a b c (Å): 6.886 8.522 8.756
angles (deg): 90.00 113.15 90.00
Atoms (fractional coordinates):
Ho 0.532 0.750 0.564
Ga 0.683 0.542 0.366
Ga 0.212 0.750 0.925
Ga 0.712 0.750 0.925
Pr 0.606 0.920 0.212
Ho 0.968 0.250 0.436
Ga 0.317 0.458 0.634
Ho 0.500 0.500 0.000
Pr 0.106 0.580 0.212
Ga 0.788 0.250 0.075
Ho 0.468 0.250 0.436
Pr 0.394 0.080 0.788
Ho 0.032 0.750 0.564
Ho 0.000 0.000 0.000
Pr 0.894 0.420 0.788
Ga 0.288 0.250 0.075
Ga 0.183 0.958 0.366
Ga 0.817 0.042 0.634

Computed properties:
Energy above the lowest structure with this stoichiometry (meV per atom): 146.4
ΔE_f (eV/atom): -0.429
N(E_F) (states/eV per atom): 0.77